The following is a DFT calculation (GGA+U) of Ca2ScCrO6 after structural relaxation.

a b c (Å): 5.4080 5.5654 9.4218
angles (deg): 90.00 124.59 90.00
Atoms (fractional coordinates):
Ca  0.2393  0.0499  0.2491
Ca  0.2393  0.4501  0.7491
Ca  0.7607  0.5499  0.2509
Ca  0.7607  0.9501  0.7509
Sc  0.5000  0.0000  0.0000
Sc  0.5000  0.5000  0.5000
Cr  0.0000  0.0000  0.5000
Cr  0.0000  0.5000  0.0000
O  0.1461  0.2159  0.9528
O  0.1461  0.2841  0.4528
O  0.2341  0.6905  0.9582
O  0.2341  0.8095  0.4582
O  0.3222  0.0263  0.7381
O  0.3222  0.4737  0.2381
O  0.6778  0.5263  0.7619
O  0.6778  0.9737  0.2619
O  0.7659  0.1905  0.5418
O  0.7659  0.3095  0.0418
O  0.8539  0.7159  0.5472
O  0.8539  0.7841  0.0472

Space-group type: P2_1/c, No. 14
Calculated volume, A^3/atom: 11.67
E_tot, eV per atom: -7.328